# LuSiIr (PBE, relaxed)
data_LuSiIr
_chemical_formula_sum 'Lu4 Si4 Ir4'
_symmetry_space_group_name_H-M 'P n m a'
_symmetry_Int_Tables_number 62
_cell_length_a 6.791
_cell_length_b 4.264
_cell_length_c 7.265
_cell_angle_alpha 90.00
_cell_angle_beta 90.00
_cell_angle_gamma 90.00
loop_
_symmetry_equiv_pos_as_xyz
'x,y,z'
'-x,-y,-z'
'-x+1/2,-y,z+1/2'
'x+1/2,y,-z+1/2'
'x+1/2,-y+1/2,-z+1/2'
'-x+1/2,y+1/2,z+1/2'
'-x,y+1/2,-z'
'x,-y+1/2,z'
loop_
_atom_site_label
_atom_site_type_symbol
_atom_site_fract_x
_atom_site_fract_y
_atom_site_fract_z
_atom_site_occupancy
Lu1 Lu 0.012 0.250 0.196 1
Si1 Si 0.178 0.250 0.582 1
Ir1 Ir 0.201 0.750 0.405 1
# VASP energy: -87.98 eV per cell